Material: LiUTc2
Method: DFT, GGA-PBE
State: optimized geometry

abc: 4.4756 4.4756 4.4756
angles: 60.00 60.00 60.00
Fractional positions:
U 0.0000 0.0000 0.0000
Tc 0.2500 0.2500 0.2500
Tc 0.7500 0.7500 0.7500
Li 0.5000 0.5000 0.5000

Results
SG: Fm-3m, No. 225
ρ: 11.551 Mg/m³
formation energy: 78 meV per atom

***

Material: LiV3Tc
Method: DFT, GGA-PBE
State: optimized geometry

abc: 4.5698 4.5698 4.5698
angles: 90.00 90.00 90.00
Fractional positions:
V 0.0000 0.5000 0.0000
V 0.0000 0.0000 0.5000
V 0.5000 0.0000 0.0000
Tc 0.0000 0.0000 0.0000
Li 0.5000 0.5000 0.5000

Results
SG: Pm-3m, No. 221
ρ: 4.485 Mg/m³
formation energy: 1031 meV per atom

***

Material: LiVTc3
Method: DFT, GGA-PBE
State: optimized geometry

abc: 4.1072 4.1072 4.1072
angles: 90.00 90.00 90.00
Fractional positions:
V 0.5000 0.5000 0.5000
Tc 0.0000 0.5000 0.0000
Tc 0.0000 0.0000 0.5000
Tc 0.5000 0.0000 0.0000
Li 0.0000 0.0000 0.0000

Results
SG: Pm-3m, No. 221
ρ: 8.434 Mg/m³
formation energy: 1081 meV per atom

***

Material: LiVTc2
Method: DFT, GGA-PBE
State: optimized geometry

abc: 6.6689 6.6689 5.3871
angles: 51.76 51.76 90.00
Fractional positions:
V 0.0000 0.0000 0.0000
V 0.7500 0.2500 0.5000
Tc 0.6386 0.1250 0.2500
Tc 0.1114 0.6250 0.2500
Tc 0.3750 0.3614 0.7500
Tc 0.8750 0.8886 0.7500
Li 0.5000 0.5000 0.0000
Li 0.2500 0.7500 0.5000

Results
SG: I-42d, No. 122
ρ: 7.279 Mg/m³
formation energy: 591 meV per atom

***

Material: LiV3Tc
Method: DFT, GGA-PBE
State: optimized geometry

abc: 4.0814 4.0814 4.0814
angles: 90.00 90.00 90.00
Each line ends with the local moment (μB).
Fractional positions:
V 0.0000 0.5000 0.0000  0.52
V 0.0000 0.0000 0.5000  0.52
V 0.5000 0.0000 0.0000  0.52
Tc 0.5000 0.5000 0.5000  -0.11
Li 0.0000 0.0000 0.0000  0.09

Results
SG: Pm-3m, No. 221
ρ: 6.296 Mg/m³
formation energy: 1163 meV per atom

***

Material: LiVTc3
Method: DFT, GGA-PBE
State: optimized geometry

abc: 4.4973 4.4973 4.4973
angles: 90.00 90.00 90.00
Each line ends with the local moment (μB).
Fractional positions:
V 0.0000 0.0000 0.0000  -0.12
Tc 0.0000 0.5000 0.0000  0.57
Tc 0.0000 0.0000 0.5000  0.57
Tc 0.5000 0.0000 0.0000  0.57
Li 0.5000 0.5000 0.5000  0.00

Results
SG: Pm-3m, No. 221
ρ: 6.424 Mg/m³
formation energy: 1190 meV per atom

***

| no. | calculated total energy (eV/cell) |
| --- | --- |
| 1 | -33.62 |
| 2 | -34.48 |
| 3 | -36.73 |
| 4 | -58.80 |
| 5 | -33.82 |
| 6 | -36.18 |